## RbCoPO4 (GGA+U)

Data for a relaxed RbCoPO4 crystal.

Computed properties:
Final energy   -6.387 eV per atom
Calculated density   3.537 g/cm3

Lattice parameters (Å, degrees): 5.171 5.590 8.868 90.00 118.72 90.00
Last column: magnetic moment on the atom in μB.
Fractional positions:
Rb: 0.620 0.750 0.858  0.00
Rb: 0.380 0.250 0.142  0.00
Co: 0.816 0.750 0.481  2.70
Co: 0.184 0.250 0.519  2.70
P: 0.151 0.750 0.328  0.00
P: 0.849 0.250 0.672  0.00
O: 0.037 0.469 0.663  0.07
O: 0.963 0.969 0.337  0.07
O: 0.963 0.531 0.337  0.07
O: 0.037 0.031 0.663  0.07
O: 0.187 0.750 0.167  0.01
O: 0.813 0.250 0.833  0.01
O: 0.452 0.750 0.496  0.04
O: 0.548 0.250 0.504  0.04